The following is a SCAN calculation of Hg2Au at its PBEsol-relaxed geometry, from Alexandria.

Properties
DFT formation energy ... 0.097 eV per atom
Space group ... I4_1/amd
Total magnetization ... 0.00 μB per atom
Calculated total energy ... -68.40 eV per atom
Density of states at the Fermi level ... 1.71 states/eV per cell

a b c (Å): 3.0938 3.0938 13.0634
angles (deg): 96.80 96.80 90.00
Atoms (fractional coordinates):
Au (0.0000, 0.0000, 0.0000)
Au (0.2500, 0.7500, 0.5000)
Hg (0.6732, 0.1732, 0.3464)
Hg (0.8268, 0.3268, 0.6536)
Hg (0.4232, 0.4232, 0.8464)
Hg (0.5768, 0.5768, 0.1536)